Version one
# Hf3TcB | Alexandria via LeMat-Bulk | PBE-GGA | relaxed
# Spin magnetization: 0.000 μB per cell
# Density: 11.7 g/cm³
data_Hf3TcB
_chemical_formula_sum 'Hf3 Tc1 B1'
_symmetry_space_group_name_H-M 'P m -3 m'
_symmetry_Int_Tables_number 221
_symmetry_space_group_name_Hall '-P 4 2 3'
_cell_length_a 4.507
_cell_length_b 4.507
_cell_length_c 4.507
_cell_angle_alpha 90.00
_cell_angle_beta 90.00
_cell_angle_gamma 90.00
loop_
_atom_site_label
_atom_site_fract_x
_atom_site_fract_y
_atom_site_fract_z
Hf1 0.000 0.000 0.500
Tc1 0.500 0.500 0.500
B1 0.000 0.000 0.000

=====

Version two
# Hf3TcB | Alexandria via LeMat-Bulk | PBE-GGA | relaxed
# Spin magnetization: 0.000 μB per cell
# Density: 9.0 g/cm³
data_Hf3TcB
_chemical_formula_sum 'Hf3 Tc1 B1'
_symmetry_space_group_name_H-M 'P m -3 m'
_symmetry_Int_Tables_number 221
_symmetry_space_group_name_Hall '-P 4 2 3'
_cell_length_a 4.916
_cell_length_b 4.916
_cell_length_c 4.916
_cell_angle_alpha 90.00
_cell_angle_beta 90.00
_cell_angle_gamma 90.00
loop_
_atom_site_label
_atom_site_fract_x
_atom_site_fract_y
_atom_site_fract_z
Hf1 0.000 0.000 0.500
Tc1 0.000 0.000 0.000
B1 0.500 0.500 0.500

=====

Energy relative to the most stable one, in meV/atom: version one 0; version two 1299

=====

Version one
# HfTcB3 | Alexandria via LeMat-Bulk | PBE-GGA | relaxed
# Spin magnetization: 2.978 μB per cell
# Density: 6.7 g/cm³
data_HfTcB3
_chemical_formula_sum 'Hf1 Tc1 B3'
_symmetry_space_group_name_H-M 'P m -3 m'
_symmetry_Int_Tables_number 221
_symmetry_space_group_name_Hall '-P 4 2 3'
_cell_length_a 4.242
_cell_length_b 4.242
_cell_length_c 4.242
_cell_angle_alpha 90.00
_cell_angle_beta 90.00
_cell_angle_gamma 90.00
loop_
_atom_site_label
_atom_site_fract_x
_atom_site_fract_y
_atom_site_fract_z
Hf1 0.000 0.000 0.000
Tc1 0.500 0.500 0.500
B1 0.000 0.000 0.500

=====

Version two
# HfTcB3 | Alexandria via LeMat-Bulk | PBE-GGA | relaxed
# Spin magnetization: 0.000 μB per cell
# Density: 8.1 g/cm³
data_HfTcB3
_chemical_formula_sum 'Hf1 Tc1 B3'
_symmetry_space_group_name_H-M 'P m -3 m'
_symmetry_Int_Tables_number 221
_symmetry_space_group_name_Hall '-P 4 2 3'
_cell_length_a 3.989
_cell_length_b 3.989
_cell_length_c 3.989
_cell_angle_alpha 90.00
_cell_angle_beta 90.00
_cell_angle_gamma 90.00
loop_
_atom_site_label
_atom_site_fract_x
_atom_site_fract_y
_atom_site_fract_z
Hf1 0.000 0.000 0.000
Tc1 0.500 0.500 0.500
B1 0.000 0.500 0.500

=====

Energy relative to the most stable one, in meV/atom: version one 1446; version two 0

=====

Version one
# Hf3BTe | Alexandria via LeMat-Bulk | PBE-GGA | relaxed
# Spin magnetization: 0.000 μB per cell
# Density: 11.8 g/cm³
data_Hf3BTe
_chemical_formula_sum 'Hf6 B2 Te2'
_symmetry_space_group_name_H-M 'P 1 21/m 1'
_symmetry_Int_Tables_number 11
_cell_length_a 7.168
_cell_length_b 3.523
_cell_length_c 7.607
_cell_angle_alpha 90.00
_cell_angle_beta 100.31
_cell_angle_gamma 90.00
loop_
_symmetry_equiv_pos_as_xyz
'x,y,z'
'-x,-y,-z'
'-x,y+1/2,-z'
'x,-y+1/2,z'
loop_
_atom_site_label
_atom_site_fract_x
_atom_site_fract_y
_atom_site_fract_z
Hf1 0.110 0.250 0.153
Hf2 0.171 0.750 0.528
Hf3 0.329 0.750 0.907
B1 0.092 0.250 0.765
Te1 0.467 0.750 0.294

=====

Version two
# Hf3BTe | Alexandria via LeMat-Bulk | PBE-GGA | relaxed
# Spin magnetization: 0.000 μB per cell
# Density: 11.4 g/cm³
data_Hf3BTe
_chemical_formula_sum 'Hf3 B1 Te1'
_symmetry_space_group_name_H-M 'P m -3 m'
_symmetry_Int_Tables_number 221
_symmetry_space_group_name_Hall '-P 4 2 3'
_cell_length_a 4.619
_cell_length_b 4.619
_cell_length_c 4.619
_cell_angle_alpha 90.00
_cell_angle_beta 90.00
_cell_angle_gamma 90.00
loop_
_atom_site_label
_atom_site_fract_x
_atom_site_fract_y
_atom_site_fract_z
Hf1 0.000 0.000 0.500
B1 0.000 0.000 0.000
Te1 0.500 0.500 0.500

=====

Energy relative to the most stable one, in meV/atom: version one 0; version two 276

=====

Version one
# HfTiB3 | Alexandria via LeMat-Bulk | PBE-GGA | relaxed
# Spin magnetization: 0.000 μB per cell
# Density: 6.9 g/cm³
data_HfTiB3
_chemical_formula_sum 'Hf1 Ti1 B3'
_symmetry_space_group_name_H-M 'P m -3 m'
_symmetry_Int_Tables_number 221
_symmetry_space_group_name_Hall '-P 4 2 3'
_cell_length_a 3.972
_cell_length_b 3.972
_cell_length_c 3.972
_cell_angle_alpha 90.00
_cell_angle_beta 90.00
_cell_angle_gamma 90.00
loop_
_atom_site_label
_atom_site_fract_x
_atom_site_fract_y
_atom_site_fract_z
Hf1 0.000 0.000 0.000
Ti1 0.500 0.500 0.500
B1 0.000 0.500 0.500

=====

Version two
# HfTiB3 | Alexandria via LeMat-Bulk | PBE-GGA | relaxed
# Spin magnetization: 0.000 μB per cell
# Density: 8.3 g/cm³
data_HfTiB3
_chemical_formula_sum 'Hf4 Ti4 B12'
_symmetry_space_group_name_H-M 'C m c m'
_symmetry_Int_Tables_number 63
_symmetry_space_group_name_Hall '-C 2c 2'
_cell_length_a 3.344
_cell_length_b 19.990
_cell_length_c 3.102
_cell_angle_alpha 90.00
_cell_angle_beta 90.00
_cell_angle_gamma 90.00
loop_
_atom_site_label
_atom_site_fract_x
_atom_site_fract_y
_atom_site_fract_z
Hf1 0.000 0.200 0.250
Ti1 0.000 0.065 0.750
B1 0.000 0.346 0.250
B2 0.000 0.391 0.750
B3 0.000 0.478 0.750

=====

Energy relative to the most stable one, in meV/atom: version one 1520; version two 0